# 1
Material: NaAcEuCd
Method: DFT, GGA-PBE
State: relaxed

Values from the calculation:
The energy of formation from the pure elements is -57 meV per atom. As for the calculated volume: 558.6 Å³/cell.

Cell lengths 8.236, 8.236, 8.236 Å; angles 90.00, 90.00, 90.00 degrees
Space group F-43m (No. 216)
Symmetry-distinct sites (fractional):
Na 0.000 0.000 0.000 (multiplicity 4)
Ac 0.250 0.250 0.250 (multiplicity 4)
Eu 0.250 0.250 0.750 (multiplicity 4)
Cd 0.000 0.000 0.500 (multiplicity 4)

=====

# 2
Material: AcNdEuCd
Method: DFT, GGA-PBE
State: relaxed

Values from the calculation:
The energy of formation from the pure elements is 46 meV per atom. As for the calculated volume: 555.4 Å³/cell.

Cell lengths 8.220, 8.220, 8.220 Å; angles 90.00, 90.00, 90.00 degrees
Space group F-43m (No. 216)
Symmetry-distinct sites (fractional):
Ac 0.000 0.000 0.000 (multiplicity 4)
Nd 0.250 0.250 0.250 (multiplicity 4)
Eu 0.250 0.250 0.750 (multiplicity 4)
Cd 0.000 0.000 0.500 (multiplicity 4)

=====

# 3
Material: AcEuCdPb
Method: DFT, GGA-PBE
State: relaxed

Values from the calculation:
The energy of formation from the pure elements is -451 meV per atom. As for the calculated volume: 533.9 Å³/cell.

Cell lengths 8.112, 8.112, 8.112 Å; angles 90.00, 90.00, 90.00 degrees
Space group F-43m (No. 216)
Symmetry-distinct sites (fractional):
Ac 0.000 0.000 0.000 (multiplicity 4)
Eu 0.000 0.000 0.500 (multiplicity 4)
Cd 0.250 0.250 0.750 (multiplicity 4)
Pb 0.250 0.250 0.250 (multiplicity 4)

=====

# 4
Material: AcEuCdPd
Method: DFT, GGA-PBE
State: relaxed

Values from the calculation:
The energy of formation from the pure elements is -456 meV per atom. As for the calculated volume: 461.3 Å³/cell.

Cell lengths 7.727, 7.727, 7.727 Å; angles 90.00, 90.00, 90.00 degrees
Space group F-43m (No. 216)
Symmetry-distinct sites (fractional):
Ac 0.000 0.000 0.000 (multiplicity 4)
Eu 0.000 0.000 0.500 (multiplicity 4)
Cd 0.250 0.250 0.750 (multiplicity 4)
Pd 0.250 0.250 0.250 (multiplicity 4)

=====

# 5
Material: AcPrEuCd
Method: DFT, GGA-PBE
State: relaxed

Values from the calculation:
The energy of formation from the pure elements is 41 meV per atom. As for the calculated volume: 559.7 Å³/cell.

Cell lengths 8.241, 8.241, 8.241 Å; angles 90.00, 90.00, 90.00 degrees
Space group F-43m (No. 216)
Symmetry-distinct sites (fractional):
Ac 0.000 0.000 0.000 (multiplicity 4)
Pr 0.250 0.250 0.750 (multiplicity 4)
Eu 0.250 0.250 0.250 (multiplicity 4)
Cd 0.000 0.000 0.500 (multiplicity 4)

=====

# 6
Material: AcEuCdPt
Method: DFT, GGA-PBE
State: relaxed

Values from the calculation:
The energy of formation from the pure elements is -599 meV per atom. As for the calculated volume: 449.8 Å³/cell.

Cell lengths 7.662, 7.662, 7.662 Å; angles 90.00, 90.00, 90.00 degrees
Space group F-43m (No. 216)
Symmetry-distinct sites (fractional):
Ac 0.000 0.000 0.000 (multiplicity 4)
Eu 0.000 0.000 0.500 (multiplicity 4)
Cd 0.250 0.250 0.250 (multiplicity 4)
Pt 0.250 0.250 0.750 (multiplicity 4)

=====

# 7
Material: AcEuCdSb
Method: DFT, GGA-PBE
State: relaxed

Values from the calculation:
For the formation energy (no corrections), the calculation gives -0.5982 eV/atom. As for the calculated volume: 517.7 Å³/cell.

Cell lengths 8.030, 8.030, 8.030 Å; angles 90.00, 90.00, 90.00 degrees
Space group F-43m (No. 216)
Symmetry-distinct sites (fractional):
Ac 0.000 0.000 0.000 (multiplicity 4)
Eu 0.000 0.000 0.500 (multiplicity 4)
Cd 0.250 0.250 0.750 (multiplicity 4)
Sb 0.250 0.250 0.250 (multiplicity 4)

=====

# 8
Material: AcEuCdSi
Method: DFT, GGA-PBE
State: relaxed

Values from the calculation:
For the formation energy (no corrections), the calculation gives -0.3300 eV/atom. As for the calculated volume: 467.9 Å³/cell.

Cell lengths 7.764, 7.764, 7.764 Å; angles 90.00, 90.00, 90.00 degrees
Space group F-43m (No. 216)
Symmetry-distinct sites (fractional):
Ac 0.000 0.000 0.000 (multiplicity 4)
Eu 0.000 0.000 0.500 (multiplicity 4)
Cd 0.250 0.250 0.250 (multiplicity 4)
Si 0.250 0.250 0.750 (multiplicity 4)

=====

| no. | M_tot (Bohr magnetons per cell) |
| --- | --- |
| 1 | 29.2 |
| 2 | 30.5 |
| 3 | 30.9 |
| 4 | 28.2 |
| 5 | 30.9 |
| 6 | 27.8 |
| 7 | 31.4 |
| 8 | 30.3 |